No. 1
Density functional theory data (PBE-GGA) for a geometry-optimized YTaPt2Se structure.

Computed properties:
Raw formation energy, eV/atom: 0.5331

Cell: 4.7214 4.7214 5.0679 Å, 90.00 90.00 90.00°
Last column: nearest neighbours and their distance in Å.
Fractional coordinates of all 5 atoms:
Y  0.0000  0.0000  0.0000  2 Se 2.53
Ta  0.5000  0.5000  0.0000  4 Y 3.34, 8 Pt 3.46
Pt  0.0000  0.5000  0.5000  2 Se 2.36
Pt  0.5000  0.0000  0.5000  2 Se 2.36
Se  0.0000  0.0000  0.5000  4 Pt 2.36, 2 Y 2.53

No. 2
Density functional theory data (PBE-GGA) for a geometry-optimized TiCo3H structure.

Computed properties:
Energy, eV/atom: -6.74

Cell: 3.5479 3.5479 3.8019 Å, 90.00 90.00 90.00°
Last column: nearest neighbours and their distance in Å.
Fractional coordinates of all 5 atoms:
Ti  0.0000  0.0000  0.0000  2 H 1.90
Co  0.0000  0.5000  0.5000  2 H 1.77
Co  0.5000  0.0000  0.5000  2 H 1.77
Co  0.5000  0.5000  0.0000  4 Ti 2.51, 8 Co 2.60
H  0.0000  0.0000  0.5000  4 Co 1.77, 2 Ti 1.90

No. 3
Density functional theory data (PBE-GGA) for a geometry-optimized Na3Tl7Ga2 structure.

Computed properties:
E_form, kJ/mol of formula units: 54

Cell: 15.1180 15.1180 5.1273 Å, 90.00 90.00 160.46°
Last column: nearest neighbours and their distance in Å.
Fractional coordinates of all 12 atoms:
Na  0.0000  0.0000  0.0000  4 Tl 3.63
Na  0.2087  0.7913  0.0000  10 Tl 3.42-3.63, 2 Na 3.55
Na  0.7913  0.2087  0.0000  10 Tl 3.42-3.63, 2 Na 3.55
Tl  0.1325  0.8675  0.5000  2 Ga 2.86
Tl  0.2893  0.7107  0.5000  6 Tl 3.46-3.47, 6 Na 3.51-3.63, 1 Ga 3.59
Tl  0.3671  0.6329  0.0000  2 Ga 2.86
Tl  0.5000  0.5000  0.5000  2 Ga 2.69
Tl  0.6329  0.3671  0.0000  2 Ga 2.86
Tl  0.7107  0.2893  0.5000  6 Tl 3.46-3.47, 6 Na 3.51-3.63, 1 Ga 3.59
Tl  0.8675  0.1325  0.5000  2 Ga 2.86
Ga  0.4099  0.5901  0.5000  5 Tl 2.69-2.86
Ga  0.5901  0.4099  0.5000  5 Tl 2.69-2.86

For reference, DOS(E_F) by record: 3.765, 4.448, 5.389 states/eV/cell.